No. 1
A plane-wave DFT calculation with PBE was carried out for a relaxed structure of PuUCd.

Cell lengths 4.7752, 4.7752, 4.7752 Å; angles 60.00, 60.00, 60.00 degrees
Last column: magnetic moment on the atom in μB.
Sites, in units of the cell vectors:
Cd1 0.2500 0.2500 0.2500  -0.01
Pu1 0.0000 0.0000 0.0000  5.41
U1 0.7500 0.7500 0.7500  2.49

Its space-group type is No. 216. The value obtained for the magnetic moment is 2.702 μB per atom. The energy above the lowest structure with this stoichiometry is 0 meV/atom.

---

No. 2
A plane-wave DFT calculation with PBE was carried out for a relaxed structure of Dy2HoPd3Pb3.

Cell lengths 3.8665, 7.8316, 7.8316 Å; angles 119.96, 90.00, 90.00 degrees
Sites, in units of the cell vectors:
Dy1 0.0000 0.4014 0.0000
Dy2 0.0000 0.0000 0.4014
Ho1 0.0000 0.5988 0.5988
Pb1 0.5000 0.2670 0.2670
Pb2 0.5000 0.9998 0.7332
Pb3 0.5000 0.7332 0.9998
Pd1 0.5000 0.6666 0.3338
Pd2 0.5000 0.3338 0.6666
Pd3 0.0000 0.9997 0.9997

The value obtained for the calculated total energy is -5.22 eV per atom. Its space-group type is No. 38. The value obtained for the magnetic moment is 0.001 μB per atom.

---

No. 3
A plane-wave DFT calculation with PBE was carried out for a relaxed structure of YBeTlPt.

Cell lengths 4.7318, 4.7318, 4.7318 Å; angles 60.00, 60.00, 60.00 degrees
Sites, in units of the cell vectors:
Be1 0.7500 0.7500 0.7500
Pt1 0.5000 0.5000 0.5000
Tl1 0.2500 0.2500 0.2500
Y1 0.0000 0.0000 0.0000

Its space-group type is No. 216. The value obtained for the magnetic moment is 0.001 μB per atom. The energy above the lowest structure with this stoichiometry is 56 meV/atom.

---

No. 4
A plane-wave DFT calculation with PBE was carried out for a relaxed structure of PrNpAu.

Cell lengths 4.9393, 4.9393, 4.9393 Å; angles 60.00, 60.00, 60.00 degrees
Sites, in units of the cell vectors:
Au1 0.2500 0.2500 0.2500
Np1 0.7500 0.7500 0.7500
Pr1 0.0000 0.0000 0.0000

The value obtained for the calculated total energy is -6.42 eV per atom. Its space-group type is No. 216. The value obtained for the magnetic moment is 1.512 μB per atom.

---

No. 5
A plane-wave DFT calculation with PBE was carried out for a relaxed structure of SmLu2Ni9.

Cell lengths 8.4783, 8.4783, 8.4783 Å; angles 33.74, 33.74, 33.74 degrees
Last column: magnetic moment on the atom in μB.
Sites, in units of the cell vectors:
Lu1 0.1400 0.1400 0.1400  0.04
Lu2 0.8600 0.8600 0.8600  0.04
Ni1 0.5849 0.5849 0.0816  -0.15
Ni2 0.3331 0.3331 0.3331  -0.15
Ni3 0.9184 0.4151 0.4151  -0.14
Ni4 0.4151 0.9184 0.4151  -0.17
Ni5 0.5000 0.5000 0.5000  -0.12
Ni6 0.5849 0.0816 0.5849  -0.17
Ni7 0.0816 0.5849 0.5849  -0.14
Ni8 0.6669 0.6669 0.6669  -0.15
Ni9 0.4151 0.4151 0.9184  -0.15
Sm1 0.0000 0.0000 0.0000  0.02

The value obtained for the calculated total energy is -5.76 eV per atom. Its space-group type is No. 166. The value obtained for the magnetic moment is 0.099 μB per atom.

---

No. 6
A plane-wave DFT calculation with PBE was carried out for a relaxed structure of FeGePb.

Cell lengths 4.6989, 4.6989, 4.6989 Å; angles 60.00, 60.00, 60.00 degrees
Sites, in units of the cell vectors:
Fe1 0.2500 0.2500 0.2500
Ge1 0.7500 0.7500 0.7500
Pb1 0.0000 0.0000 0.0000

The value obtained for the calculated total energy is -4.61 eV per atom. Its space-group type is No. 216. The value obtained for the magnetic moment is 0.983 μB per atom.

---

No. 7
A plane-wave DFT calculation with PBE was carried out for a relaxed structure of DyAg.

Cell lengths 4.2157, 4.2157, 4.2157 Å; angles 60.00, 60.00, 60.00 degrees
Sites, in units of the cell vectors:
Ag1 0.0000 0.0000 0.0000
Dy1 0.5000 0.5000 0.5000

The value obtained for the calculated total energy is -3.79 eV per atom. Its space-group type is No. 225. The value obtained for the magnetic moment is 0.000 μB per atom.

---

No. 8
A plane-wave DFT calculation with PBE was carried out for a relaxed structure of TbDy2InGa2Hg3.

Cell lengths 4.4561, 7.3833, 7.3833 Å; angles 120.04, 90.00, 90.00 degrees
Sites, in units of the cell vectors:
Dy1 0.0000 0.5666 0.0002
Dy2 0.0000 0.0002 0.5666
Ga1 0.5000 0.6672 0.3332
Ga2 0.5000 0.3332 0.6672
Hg1 0.5000 0.2645 0.0002
Hg2 0.5000 0.0002 0.2645
Hg3 0.5000 0.7356 0.7356
In1 0.0000 0.9993 0.9993
Tb1 0.0000 0.4331 0.4331

The value obtained for the calculated total energy is -3.09 eV per atom. Its space-group type is No. 38. The value obtained for the magnetic moment is 0.001 μB per atom.